Crystalline Pr2Ho5Bi3C2 at its relaxed geometry. Source: the Alexandria database, functional PBE.

The structure belongs to space group I4/mmm (No. 139); the cell edges are 4.864, 4.864 and 26.426 Å and the angles 90.00°, 90.00° and 90.00°. Symmetry generates all atoms from Pr at (0.000, 0.000, 0.194), Ho at (0.000, 0.000, 0.000), Ho at (0.000, 0.500, 0.092), Bi at (0.000, 0.000, 0.322), Bi at (0.000, 0.000, 0.500) and C at (0.000, 0.000, 0.092).

For the magnetization, the calculation gives 0.0 μB/cell. For the theoretical density, the calculation gives 9.34 g cm⁻³. The formation energy comes out at -0.645 eV/atom.